Entry 1:
This record from Alexandria via LeMat-Bulk describes a relaxed NaInSn crystal. The functional is PBE.

The structure belongs to space group P6_3mc (No. 186); the cell edges are 4.9239, 4.9239 and 7.9021 Å and the angles 90.00°, 90.00° and 120.00°. The asymmetric unit holds Na at (0.0000, 0.0000, 0.0000), In at (0.3333, 0.6667, 0.3064) and Sn at (0.3333, 0.6667, 0.6956).

The magnetization comes out at 0.0 μB per cell. For the total energy, the calculation gives -17.24 eV for the cell shown. For the formation enthalpy at 0 K, the calculation gives -0.187 eV/atom.

***

Entry 2:
This record from Alexandria via LeMat-Bulk describes a relaxed Li2GaHgAu crystal. The functional is PBE.

The structure belongs to space group P2_1/m (No. 11); the cell edges are 5.408, 4.545 and 7.080 Å and the angles 90.00°, 101.95° and 90.00°. The asymmetric unit holds Li at (0.150, 0.250, 0.063), Li at (0.345, 0.250, 0.469), Ga at (0.455, 0.750, 0.146), Hg at (0.063, 0.750, 0.339) and Au at (0.294, 0.750, 0.765).

For the relative energy among the computed polymorphs, the calculation gives 0 meV per atom. The magnetization comes out at 0.0 μB per cell. For the total energy, the calculation gives -24.68 eV for the cell shown. For the formation enthalpy at 0 K, the calculation gives -0.381 eV/atom.

***

Entry 3:
This record from Alexandria via LeMat-Bulk describes a relaxed In2AsSe crystal. The functional is PBE.

The structure belongs to space group C2/m (No. 12); the cell edges are 13.403, 3.770 and 4.364 Å and the angles 90.00°, 108.58° and 90.00°. The asymmetric unit holds In at (0.183, 0.000, 0.183), As at (0.000, 0.500, 0.000) and Se at (0.000, 0.000, 0.500).

For the relative energy among the computed polymorphs, the calculation gives 303 meV per atom. The magnetization comes out at 0.0 μB per cell. For the total energy, the calculation gives -27.11 eV for the cell shown.

***

Entry 4:
This record from Alexandria via LeMat-Bulk describes a relaxed TbTmCu crystal. The functional is PBE.

The structure belongs to space group I4mm (No. 107); the cell edges are 3.454, 3.454 and 12.264 Å and the angles 90.00°, 90.00° and 90.00°. The asymmetric unit holds Tb at (0.000, 0.000, 0.000), Tm at (0.000, 0.000, 0.278) and Cu at (0.000, 0.000, 0.647).

For the relative energy among the computed polymorphs, the calculation gives 33 meV per atom. The magnetization comes out at 0.2 μB per cell. For the total energy, the calculation gives -27.22 eV for the cell shown. For the formation enthalpy at 0 K, the calculation gives -0.138 eV/atom.

***

Entry 5:
This record from Alexandria via LeMat-Bulk describes a relaxed Li2TlAg2 crystal. The functional is PBE.

The structure belongs to space group C2/m (No. 12); the cell edges are 8.445, 4.499 and 5.857 Å and the angles 90.00°, 125.64° and 90.00°. The asymmetric unit holds Li at (0.091, 0.000, 0.286), Tl at (0.000, 0.500, 0.500) and Ag at (0.205, 0.500, 0.121).

For the relative energy among the computed polymorphs, the calculation gives 0 meV per atom. The magnetization comes out at 0.0 μB per cell. For the total energy, the calculation gives -25.39 eV for the cell shown. For the formation enthalpy at 0 K, the calculation gives -0.160 eV/atom.

***

Entry 6:
This record from Alexandria via LeMat-Bulk describes a relaxed Sr2BeP crystal. The functional is PBE.

The structure belongs to space group Cmm2 (No. 35); the cell edges are 3.909, 7.473 and 9.137 Å and the angles 90.00°, 90.00° and 90.00°. The asymmetric unit holds Sr at (0.000, 0.000, 0.000), Sr at (0.000, 0.500, 0.412), Be at (0.000, 0.500, 0.741) and P at (0.000, 0.000, 0.658).

For the relative energy among the computed polymorphs, the calculation gives 376 meV per atom. The magnetization comes out at 1.2 μB per cell. For the total energy, the calculation gives -25.53 eV for the cell shown. For the formation enthalpy at 0 K, the calculation gives -0.067 eV/atom.

***

Entry 7:
This record from Alexandria via LeMat-Bulk describes a relaxed PuTiPd2 crystal. The functional is PBE.

The structure belongs to space group P4/mmm (No. 123); the cell edges are 3.175, 3.175 and 7.413 Å and the angles 90.00°, 90.00° and 90.00°. The asymmetric unit holds Pu at (0.000, 0.000, 0.000), Ti at (0.000, 0.000, 0.500) and Pd at (0.500, 0.500, 0.302).

For the relative energy among the computed polymorphs, the calculation gives 0 meV per atom. The magnetization comes out at 5.9 μB per cell. For the total energy, the calculation gives -34.46 eV for the cell shown. For the formation enthalpy at 0 K, the calculation gives -0.462 eV/atom.

***

Entry 8:
This record from Alexandria via LeMat-Bulk describes a relaxed IrRu2 crystal. The functional is PBE.

The structure belongs to space group C2/m (No. 12); the cell edges are 9.001, 2.710 and 3.833 Å and the angles 90.00°, 115.09° and 90.00°. The asymmetric unit holds Ir at (0.000, 0.000, 0.000) and Ru at (0.168, 0.500, 0.668).

For the relative energy among the computed polymorphs, the calculation gives 62 meV per atom. The magnetization comes out at 0.0 μB per cell. For the total energy, the calculation gives -54.75 eV for the cell shown. For the formation enthalpy at 0 K, the calculation gives 0.013 eV/atom.

***

Entry 9:
This record from Alexandria via LeMat-Bulk describes a relaxed NdDyInHg crystal. The functional is PBE.

The structure belongs to space group F-43m (No. 216); the cell edges are 7.624, 7.624 and 7.624 Å and the angles 90.00°, 90.00° and 90.00°. The asymmetric unit holds Nd at (0.000, 0.000, 0.000), Dy at (0.000, 0.000, 0.500), In at (0.250, 0.250, 0.750) and Hg at (0.250, 0.250, 0.250).

The magnetization comes out at 1.6 μB per cell. For the total energy, the calculation gives -57.05 eV for the cell shown. For the formation enthalpy at 0 K, the calculation gives -0.463 eV/atom.

***

Entry 10:
This record from Alexandria via LeMat-Bulk describes a relaxed PrTmLuCd crystal. The functional is PBE.

The structure belongs to space group F-43m (No. 216); the cell edges are 7.729, 7.729 and 7.729 Å and the angles 90.00°, 90.00° and 90.00°. The asymmetric unit holds Pr at (0.000, 0.000, 0.000), Tm at (0.000, 0.000, 0.500), Lu at (0.250, 0.250, 0.750) and Cd at (0.250, 0.250, 0.250).

The magnetization comes out at 0.0 μB per cell. For the total energy, the calculation gives -59.32 eV for the cell shown. For the formation enthalpy at 0 K, the calculation gives -0.036 eV/atom.

***

Entry 11:
This record from Alexandria via LeMat-Bulk describes a relaxed SrRuSe crystal. The functional is PBE.

The structure belongs to space group F-43m (No. 216); the cell edges are 6.695, 6.695 and 6.695 Å and the angles 90.00°, 90.00° and 90.00°. The asymmetric unit holds Sr at (0.000, 0.000, 0.000), Ru at (0.000, 0.000, 0.500) and Se at (0.250, 0.250, 0.250).

For the relative energy among the computed polymorphs, the calculation gives 468 meV per atom. The magnetization comes out at 8.2 μB per cell. For the total energy, the calculation gives -58.31 eV for the cell shown.

***

Entry 12:
This record from Alexandria via LeMat-Bulk describes a relaxed BaMg3O crystal. The functional is PBE.

The structure belongs to space group Pm-3m (No. 221); the cell edges are 4.918, 4.918 and 4.918 Å and the angles 90.00°, 90.00° and 90.00°. The asymmetric unit holds Ba at (0.000, 0.000, 0.000), Mg at (0.000, 0.500, 0.500) and O at (0.500, 0.500, 0.500).

For the relative energy among the computed polymorphs, the calculation gives 0 meV per atom. The magnetization comes out at 0.0 μB per cell. For the total energy, the calculation gives -13.46 eV for the cell shown.